VASP calculation (GGA+U) on an optimized crystal structure of Na2FeHgF6.

**Calculated density**: 4.03 g/cm3
**Excess energy over the best structure of this formula in the dataset**: 3.47 kcal/mol of atoms
**DOS at the Fermi energy**: 1.6 states/eV/cell

abc: 6.2375 6.2375 6.2375
angles: 60.00 60.00 60.00
With the nearest neighbours (Å) after each atom.
Fractional coordinates of all 10 atoms:
Na 0.2500 0.2500 0.2500  12 F 3.13
Na 0.7500 0.7500 0.7500  12 F 3.13
Fe 0.0000 0.0000 0.0000  6 F 1.95
Hg 0.5000 0.5000 0.5000  6 F 2.46
F 0.2215 0.2215 0.7785  1 Fe 1.95
F 0.2215 0.7785 0.2215  1 Fe 1.95
F 0.2215 0.7785 0.7785  1 Fe 1.95
F 0.7785 0.2215 0.2215  1 Fe 1.95
F 0.7785 0.2215 0.7785  1 Fe 1.95
F 0.7785 0.7785 0.2215  1 Fe 1.95